1.
{
  "formula": "Cu2NiAg",
  "functional": "meta-GGA SCAN",
  "state": "single point on PBEsol structure",
  "lattice": [[-1.476, 1.818, -1.172], [-0.333, -0.058, -2.597], [-7.386, -4.286, -0.277]],
  "species": ["Ag", "Cu", "Cu", "Ni"],
  "fractional_positions": [[0.000, 0.000, 0.000], [0.244, 0.244, 0.269], [0.756, 0.756, 0.731], [0.500, 0.500, 0.500]],
  "e_form_mev_per_atom": 169,
  "space_group": "No. 166"
}


2.
{
  "formula": "IrPb2W",
  "functional": "meta-GGA SCAN",
  "state": "single point on PBEsol structure",
  "lattice": [[3.016, 0.000, 0.000], [0.000, 3.016, 0.000], [0.000, 0.000, 9.291]],
  "species": ["Ir", "Pb", "Pb", "W"],
  "fractional_positions": [[0.500, 0.500, 0.711], [0.000, 0.000, 0.947], [0.500, 0.500, 0.298], [0.000, 0.000, 0.544]],
  "e_form_mev_per_atom": 305,
  "space_group": "No. 99",
  "e_above_lowest_polymorph_mev_per_atom": 0.0
}


3.
{
  "formula": "CaLa3",
  "functional": "meta-GGA SCAN",
  "state": "single point on PBEsol structure",
  "lattice": [[3.640, 0.000, 0.000], [0.000, 6.398, -0.016], [0.000, -2.137, 6.030]],
  "species": ["Ca", "La", "La", "La"],
  "fractional_positions": [[0.000, 0.000, 0.000], [0.500, 0.000, 0.500], [0.500, 0.500, 0.000], [0.000, 0.500, 0.500]],
  "e_form_mev_per_atom": 51,
  "space_group": "No. 65"
}


4.
{
  "formula": "Ba2AlCuSn",
  "functional": "meta-GGA SCAN",
  "state": "single point on PBEsol structure",
  "lattice": [[-0.783, 0.844, 4.513], [-5.619, -1.848, -0.629], [1.677, -5.551, 1.328]],
  "species": ["Al", "Ba", "Ba", "Cu", "Sn"],
  "fractional_positions": [[0.500, 0.000, 0.000], [0.000, 0.000, 0.500], [0.000, 0.500, 0.000], [0.000, 0.000, 0.000], [0.500, 0.500, 0.500]],
  "e_form_mev_per_atom": -173,
  "space_group": "No. 123"
}


5.
{
  "formula": "SiAs2CSe",
  "functional": "meta-GGA SCAN",
  "state": "single point on PBEsol structure",
  "lattice": [[-1.384, -1.917, -3.989], [-1.918, -3.547, 2.370], [-4.031, 2.357, 0.266]],
  "species": ["C", "Si", "As", "As", "Se"],
  "fractional_positions": [[0.500, 0.500, 0.500], [0.000, 0.000, 0.000], [0.000, 0.000, 0.500], [0.000, 0.500, 0.000], [0.500, 0.000, 0.000]],
  "space_group": "No. 123",
  "raw_formation_energy_ev_per_atom": 1.93
}


6.
{
  "formula": "Na3CuSiCO7",
  "functional": "meta-GGA SCAN",
  "state": "single point on PBEsol structure",
  "lattice": [[-1.687, -4.467, 2.118], [4.774, 0.112, 4.038], [-5.046, 4.955, 5.829]],
  "species": ["Na", "Na", "Na", "Na", "Na", "Na", "Cu", "Cu", "Si", "Si", "C", "C", "O", "O", "O", "O", "O", "O", "O", "O", "O", "O", "O", "O", "O", "O"],
  "fractional_positions": [[0.779, 0.750, 0.899], [0.252, 0.995, 0.736], [0.252, 0.505, 0.736], [0.748, 0.495, 0.264], [0.748, 0.005, 0.264], [0.221, 0.250, 0.101], [0.766, 0.250, 0.651], [0.234, 0.750, 0.349], [0.683, 0.750, 0.565], [0.317, 0.250, 0.435], [0.706, 0.250, 0.944], [0.294, 0.750, 0.056], [0.224, 0.750, 0.920], [0.892, 0.250, 0.850], [0.472, 0.250, 0.901], [0.741, 0.950, 0.680], [0.741, 0.550, 0.680], [0.366, 0.750, 0.536], [0.164, 0.250, 0.583], [0.836, 0.750, 0.417], [0.634, 0.250, 0.464], [0.259, 0.450, 0.320], [0.259, 0.050, 0.320], [0.528, 0.750, 0.099], [0.108, 0.750, 0.150], [0.776, 0.250, 0.080]],
  "space_group": "No. 11",
  "raw_formation_energy_ev_per_atom": -1.90
}


M_tot values, unit μB/cell, following the record order: 0.0; 0.0; 0.0; 0.0; 1.0; 0.0.